Compound: PmSm2Fe
Source: Alexandria via LeMat-Bulk
Functional: PBE
Structure: relaxed

Unit cell a=3.5153 b=3.5153 c=8.9557 alpha=90.00 beta=90.00 gamma=90.00
Element x y z (fractional)
Pm1 0.0000 0.0000 0.0000
Sm1 0.5000 0.5000 0.3138
Sm2 0.5000 0.5000 0.6862
Fe1 0.0000 0.0000 0.5000

Output
**Theoretical density**: 7526 kg/m3
**Electronic total energy**: -5.519 eV/atom